(1)
## Te2PbSe (PBE-GGA)

Data for a relaxed structure of Te2PbSe.

Lattice parameters (Å, degrees): 7.619 7.619 7.619 90.00 90.00 90.00
Space group F-43m (No. 216)
Inequivalent atoms, fractional coordinates:
1 Te 0.000 0.000 0.000 x4
2 Te 0.250 0.250 0.250 x4
3 Pb 0.000 0.000 0.500 x4
4 Se 0.250 0.250 0.750 x4

Properties
final energy: -3.2609 eV/atom

(2)
## Er2Sc2Hg3 (PBE-GGA)

Data for a relaxed structure of Er2Sc2Hg3.

Lattice parameters (Å, degrees): 3.648 26.645 3.589 90.00 90.00 90.00
Space group Cmmm (No. 65)
Inequivalent atoms, fractional coordinates:
1 Er 0.000 0.071 0.000 x4
2 Sc 0.000 0.201 0.000 x4
3 Hg 0.000 0.356 0.500 x4
4 Hg 0.000 0.500 0.500 x2

Properties
formation energy from the elements: -283.5 meV per atom

(3)
## Tb2Si3 (PBE-GGA)

Data for a relaxed structure of Tb2Si3.

Lattice parameters (Å, degrees): 3.882 4.028 13.806 90.00 90.00 90.00
Space group Imm2 (No. 44)
Inequivalent atoms, fractional coordinates:
1 Tb 0.000 0.000 0.000 x2
2 Tb 0.000 0.500 0.255 x2
3 Si 0.000 0.000 0.426 x2
4 Si 0.000 0.000 0.595 x2
5 Si 0.000 0.500 0.825 x2

Properties
final energy: -5.7346 eV/atom

(4)
## LaTlIn2 (PBE-GGA)

Data for a relaxed structure of LaTlIn2.

Lattice parameters (Å, degrees): 3.647 4.220 7.419 90.00 90.00 90.00
Space group Pmm2 (No. 25)
Inequivalent atoms, fractional coordinates:
1 La 0.000 0.000 0.000 x1
2 Tl 0.500 0.500 0.281 x1
3 In 0.000 0.000 0.510 x1
4 In 0.500 0.500 0.723 x1

Properties
formation energy from the elements: -249.6 meV per atom

(5)
## RbAlTe2 (PBE-GGA)

Data for a relaxed structure of RbAlTe2.

Lattice parameters (Å, degrees): 8.131 6.456 8.131 90.00 90.03 90.00
Space group Pm (No. 6)
Inequivalent atoms, fractional coordinates:
1 Rb 0.000 0.000 0.000 x1
2 Rb 0.499 0.500 0.501 x1
3 Al 0.500 0.250 0.001 x2
4 Te 0.266 0.500 0.891 x1
5 Te 0.389 0.000 0.234 x1
6 Te 0.610 0.000 0.768 x1
7 Te 0.733 0.500 0.111 x1

Properties
final energy: -3.5333 eV/atom

(6)
## LiCu2PO4 (PBE-GGA)

Data for a relaxed structure of LiCu2PO4.

Lattice parameters (Å, degrees): 5.240 5.392 7.970 90.00 128.35 90.00
Space group Pc (No. 7)
Inequivalent atoms, fractional coordinates:
1 Li 0.000 0.182 0.000 x2
2 Cu 0.551 0.166 0.515 x2
3 Cu 0.713 0.255 0.248 x2
4 P 0.266 0.334 0.753 x2
5 O 0.159 0.396 0.245 x2
6 O 0.334 0.198 0.952 x2
7 O 0.571 0.323 0.763 x2
8 O 0.982 0.181 0.553 x2

Properties
final energy: -5.9192 eV/atom

(7)
## Hf3Pa (PBE-GGA)

Data for a relaxed structure of Hf3Pa.

Lattice parameters (Å, degrees): 3.114 10.511 5.660 90.00 90.00 90.00
Space group Imm2 (No. 44)
Inequivalent atoms, fractional coordinates:
1 Hf 0.000 0.000 0.000 x2
2 Hf 0.000 0.257 0.718 x4
3 Pa 0.000 0.500 0.005 x2

Properties
formation energy from the elements: 95.2 meV per atom

(8)
## ZrBeAl (PBE-GGA)

Data for a relaxed structure of ZrBeAl.

Lattice parameters (Å, degrees): 3.256 4.082 7.218 90.00 90.00 90.00
Space group Pmmm (No. 47)
Inequivalent atoms, fractional coordinates:
1 Zr 0.000 0.000 0.000 x1
2 Zr 0.000 0.500 0.500 x1
3 Be 0.500 0.000 0.347 x2
4 Al 0.500 0.500 0.178 x2

Properties
formation energy from the elements: -356.6 meV per atom

(9)
## Sr4ZrPa3P8 (PBE-GGA)

Data for a relaxed structure of Sr4ZrPa3P8.

Lattice parameters (Å, degrees): 8.1519 8.1519 20.7331 90.00 90.00 120.00
Space group R-3m (No. 166, hexagonal axes)
Inequivalent atoms, fractional coordinates:
1 Sr 0.0000 0.0000 0.0000 x3
2 Sr 0.0000 0.5000 0.0000 x9
3 Zr 0.0000 0.0000 0.5000 x3
4 Pa 0.0000 0.5000 0.5000 x9
5 P 0.0000 0.0000 0.2389 x6
6 P 0.0040 0.5020 0.2376 x18

Properties
formation energy from the elements: -1227.2 meV per atom

(10)
## PuMgIn4Pd2 (PBE-GGA)

Data for a relaxed structure of PuMgIn4Pd2.

Lattice parameters (Å, degrees): 4.6843 4.6843 28.1326 90.00 90.00 120.00
Space group R-3m (No. 166, hexagonal axes)
Inequivalent atoms, fractional coordinates:
1 Pu 0.0000 0.0000 0.0000 x3
2 Mg 0.0000 0.0000 0.5000 x3
3 In 0.0000 0.0000 0.1213 x6
4 In 0.0000 0.0000 0.3932 x6
5 Pd 0.0000 0.0000 0.2263 x6

Properties
formation energy from the elements: -269.7 meV per atom

(11)
## Li2TaAu (PBE-GGA)

Data for a relaxed structure of Li2TaAu.

Lattice parameters (Å, degrees): 3.373 4.436 9.383 90.00 90.00 90.00
Space group Cmm2 (No. 35)
Inequivalent atoms, fractional coordinates:
1 Li 0.000 0.000 0.000 x2
2 Li 0.000 0.500 0.271 x2
3 Ta 0.000 0.500 0.742 x2
4 Au 0.000 0.000 0.491 x2

Properties
formation energy from the elements: 67.3 meV per atom

(12)
## Nd2HoI2N2 (PBE-GGA)

Data for a relaxed structure of Nd2HoI2N2.

Lattice parameters (Å, degrees): 4.482 4.482 19.580 90.00 90.00 90.00
Space group I4/mmm (No. 139)
Inequivalent atoms, fractional coordinates:
1 Nd 0.000 0.000 0.076 x4
2 Ho 0.000 0.000 0.500 x2
3 I 0.000 0.000 0.338 x4
4 N 0.000 0.500 0.000 x4

Properties
final energy: -6.0868 eV/atom

(13)
## LiPm5Pb5 (PBE-GGA)

Data for a relaxed structure of LiPm5Pb5.

Lattice parameters (Å, degrees): 18.233 5.717 7.092 90.00 109.76 90.00
Space group C2/m (No. 12)
Inequivalent atoms, fractional coordinates:
1 Li 0.000 0.000 0.000 x2
2 Pm 0.000 0.000 0.500 x2
3 Pm 0.173 0.500 0.731 x4
4 Pm 0.178 0.500 0.236 x4
5 Pb 0.000 0.500 0.000 x2
6 Pb 0.152 0.000 0.925 x4
7 Pb 0.156 0.000 0.409 x4

Properties
formation energy from the elements: -280.1 meV per atom

(14)
## AcPr2Nd6Er (PBE-GGA)

Data for a relaxed structure of AcPr2Nd6Er.

Lattice parameters (Å, degrees): 9.411 15.732 9.865 90.00 96.00 90.00
Space group C2/c (No. 15)
Inequivalent atoms, fractional coordinates:
1 Ac 0.000 0.022 0.250 x4
2 Pr 0.243 0.443 0.455 x8
3 Nd 0.060 0.191 0.945 x8
4 Nd 0.104 0.394 0.116 x8
5 Nd 0.211 0.225 0.310 x8
6 Er 0.000 0.411 0.750 x4

Properties
formation energy from the elements: 114.6 meV per atom

(15)
## Sm3TlCo3 (PBE-GGA)

Data for a relaxed structure of Sm3TlCo3.

Lattice parameters (Å, degrees): 9.9254 9.9254 3.8432 90.00 90.00 120.00
Space group P6_3/m (No. 176)
Inequivalent atoms, fractional coordinates:
1 Sm 0.0677 0.6918 0.2500 x6
2 Tl 0.3333 0.6667 0.7500 x2
3 Co 0.0245 0.8703 0.7500 x6

Properties
formation energy from the elements: -136.7 meV per atom

(16)
## TaTeP2 (PBE-GGA)

Data for a relaxed structure of TaTeP2.

Lattice parameters (Å, degrees): 3.254 3.254 7.774 90.00 90.00 90.00
Space group P4mm (No. 99)
Inequivalent atoms, fractional coordinates:
1 Ta 0.000 0.000 0.000 x1
2 Te 0.500 0.500 0.236 x1
3 P 0.000 0.000 0.676 x1
4 P 0.500 0.500 0.827 x1

Properties
final energy: -6.5350 eV/atom

(17)
## Sr4Ag2Pt (PBE-GGA)

Data for a relaxed structure of Sr4Ag2Pt.

Lattice parameters (Å, degrees): 5.875 5.875 15.543 90.00 90.00 90.00
Space group I4/mmm (No. 139)
Inequivalent atoms, fractional coordinates:
1 Sr 0.000 0.000 0.193 x4
2 Sr 0.000 0.500 0.000 x4
3 Ag 0.000 0.000 0.399 x4
4 Pt 0.000 0.000 0.000 x2

Properties
formation energy from the elements: -333.8 meV per atom

(18)
## TbNd3Dy2Y6 (PBE-GGA)

Data for a relaxed structure of TbNd3Dy2Y6.

Lattice parameters (Å, degrees): 6.233 10.789 11.864 90.00 100.04 90.00
Space group C2/m (No. 12)
Inequivalent atoms, fractional coordinates:
1 Tb 0.000 0.000 0.000 x2
2 Nd 0.000 0.167 0.500 x4
3 Nd 0.000 0.500 0.500 x2
4 Dy 0.000 0.333 0.000 x4
5 Y 0.249 0.167 0.247 x8
6 Y 0.249 0.500 0.247 x4

Properties
formation energy from the elements: 16.7 meV per atom

(19)
## MgCuGeSe2 (PBE-GGA)

Data for a relaxed structure of MgCuGeSe2.

Lattice parameters (Å, degrees): 5.053 5.053 4.443 90.00 90.00 90.00
Space group P4/mmm (No. 123)
Inequivalent atoms, fractional coordinates:
1 Mg 0.000 0.000 0.000 x1
2 Cu 0.500 0.500 0.500 x1
3 Ge 0.500 0.500 0.000 x1
4 Se 0.000 0.500 0.500 x2

Properties
final energy: -3.2984 eV/atom

(20)
## Tb4CoPb2 (PBE-GGA)

Data for a relaxed structure of Tb4CoPb2.

Lattice parameters (Å, degrees): 17.768 3.811 6.161 90.00 108.29 90.00
Space group C2/m (No. 12)
Inequivalent atoms, fractional coordinates:
1 Tb 0.088 0.000 0.235 x4
2 Tb 0.094 0.500 0.743 x4
3 Co 0.000 0.000 0.500 x2
4 Pb 0.247 0.500 0.261 x4

Properties
formation energy from the elements: -247.9 meV per atom

(21)
## CaYOs2 (PBE-GGA)

Data for a relaxed structure of CaYOs2.

Lattice parameters (Å, degrees): 2.986 4.592 6.092 90.00 98.74 90.00
Space group P2/m (No. 10)
Inequivalent atoms, fractional coordinates:
1 Ca 0.000 0.000 0.000 x1
2 Y 0.500 0.000 0.500 x1
3 Os 0.269 0.500 0.693 x2

Properties
formation energy from the elements: 474.3 meV per atom

(22)
## TiMo3Pb (PBE-GGA)

Data for a relaxed structure of TiMo3Pb.

Lattice parameters (Å, degrees): 4.647 4.647 4.647 90.00 90.00 90.00
Space group Pm-3m (No. 221)
Inequivalent atoms, fractional coordinates:
1 Ti 0.000 0.000 0.000 x1
2 Mo 0.000 0.000 0.500 x3
3 Pb 0.500 0.500 0.500 x1

Properties
formation energy from the elements: 1388.7 meV per atom

(23)
## TmAl6Cu3 (PBE-GGA)

Data for a relaxed structure of TmAl6Cu3.

Lattice parameters (Å, degrees): 8.391 4.086 9.901 90.00 96.52 90.00
Space group P2_1/m (No. 11)
Inequivalent atoms, fractional coordinates:
1 Tm 0.011 0.250 0.216 x2
2 Al 0.094 0.750 0.456 x2
3 Al 0.181 0.250 0.951 x2
4 Al 0.222 0.250 0.684 x2
5 Al 0.355 0.250 0.212 x2
6 Al 0.410 0.750 0.576 x2
7 Al 0.492 0.750 0.090 x2
8 Cu 0.196 0.750 0.090 x2
9 Cu 0.287 0.250 0.448 x2
10 Cu 0.341 0.750 0.839 x2

Properties
formation energy from the elements: -177.4 meV per atom

(24)
## Tl5SI4 (PBE-GGA)

Data for a relaxed structure of Tl5SI4.

Lattice parameters (Å, degrees): 10.919 10.919 6.716 90.00 90.00 90.00
Space group I4 (No. 79)
Inequivalent atoms, fractional coordinates:
1 Tl 0.000 0.000 0.000 x2
2 Tl 0.086 0.255 0.493 x8
3 S 0.000 0.000 0.488 x2
4 I 0.097 0.306 0.993 x8

Properties
final energy: -2.7129 eV/atom